# CrCoO4, relaxed, DFT PBE+U
data_CrCoO4
_chemical_formula_sum 'Cr4 Co4 O16'
_cell_length_a 10.403
_cell_length_b 6.087
_cell_length_c 4.982
_cell_angle_alpha 90.00
_cell_angle_beta 90.00
_cell_angle_gamma 90.00
_space_group_name_H-M_alt 'P n m a'
_space_group_IT_number 62
loop_
_space_group_symop_operation_xyz
'x,y,z'
'-x,-y,-z'
'-x+1/2,-y,z+1/2'
'x+1/2,y,-z+1/2'
'x+1/2,-y+1/2,-z+1/2'
'-x+1/2,y+1/2,z+1/2'
'-x,y+1/2,-z'
'x,-y+1/2,z'
loop_
_atom_site_label
_atom_site_type_symbol
_atom_site_fract_x
_atom_site_fract_y
_atom_site_fract_z
Cr1 Cr 0.092 0.250 0.112
Co1 Co 0.228 0.750 0.051
O1 O 0.065 0.750 0.833
O2 O 0.116 0.250 0.786
O3 O 0.166 0.030 0.251
# - total magnetization (μB/f.u.) = 3.0
# - DFT total energy (eV/atom) = -6.52